Below is a geometry-optimized Ac6Pt4Rh structure, with properties calculated at the PBE-GGA level.

The structure belongs to space group Cmcm (No. 63); the cell edges are 4.317, 14.478 and 22.202 Å and the angles 90.00°, 90.00° and 90.00°. Symmetry generates all atoms from Ac at (0.000, 0.000, 0.000), Ac at (0.000, 0.199, 0.250), Ac at (0.000, 0.274, 0.586), Ac at (0.000, 0.451, 0.164), Pt at (0.000, 0.092, 0.130), Pt at (0.000, 0.362, 0.042) and Rh at (0.000, 0.155, 0.750).

Its crystal system is orthorhombic. The calculation puts the total energy at -6.09 eV/atom. Its total moment is 0.0000 μB/atom.